1.
DFT (GGA-PBE) results for a relaxed PuU2PaS4 crystal.

Structure (POSCAR):
```
PuU2PaS4
1.0
0.0000 3.9096 5.5104
3.8756 0.0000 5.5104
3.8756 3.9096 0.0000
Pu U Pa S
1 2 1 4
direct
0.0000 0.0000 0.0000
0.2500 0.2500 0.2500
0.7500 0.7500 0.7500
0.5000 0.5000 0.5000
0.0000 0.0000 0.5000
0.2498 0.2498 0.7502
0.5000 0.5000 0.0000
0.7502 0.7502 0.2498
```

* raw formation energy: -1502.2 meV per atom
* uncorrected energy: -74.9 eV per formula unit
* density of states at the Fermi level: 21.0 states/eV per cell

***

2.
DFT (GGA-PBE) results for a relaxed Th2MgH8 crystal.

Structure (POSCAR):
```
Th2MgH8
1.0
-1.9848 2.3800 5.7667
1.9848 -2.3800 5.7667
1.9848 2.3800 -5.7667
Th Mg H
2 1 8
direct
0.1641 0.1641 0.0000
0.8359 0.8359 0.0000
0.5000 0.5000 0.0000
0.1047 0.3477 0.7570
0.2582 0.0000 0.2582
0.3134 0.8134 0.5000
0.4093 0.6523 0.7570
0.5907 0.3477 0.2430
0.6866 0.1866 0.5000
0.7418 0.0000 0.7418
0.8953 0.6523 0.2430
```

* uncorrected energy: -47.5 eV per formula unit
* density of states at the Fermi level: 2.0 states/eV per cell

***

3.
DFT (GGA-PBE) results for a relaxed AcCdGaAu6 crystal.

Structure (POSCAR):
```
AcCdGaAu6
1.0
-3.8206 4.8208 5.4776
3.8206 -4.8208 5.4776
3.8206 4.8208 -5.4776
Ac Cd Ga Au
2 2 2 12
direct
0.4688 0.2188 0.2500
0.5312 0.7812 0.7500
0.0000 0.0000 0.5000
0.0000 0.5000 0.0000
0.0000 0.0000 0.0000
0.5000 0.0000 0.5000
0.1400 0.4310 0.3181
0.1400 0.8218 0.7090
0.1816 0.9316 0.2500
0.2255 0.4755 0.7500
0.3872 0.1782 0.8181
0.3872 0.5690 0.2090
0.6128 0.4310 0.7910
0.6128 0.8218 0.1819
0.7745 0.5245 0.2500
0.8184 0.0684 0.7500
0.8600 0.1782 0.2910
0.8600 0.5690 0.6819
```

* formation energy from the elements: -6.06 kcal/mol of atoms
* uncorrected energy: -30.1 eV per formula unit
* density of states at the Fermi level: 4.6 states/eV per cell